{"formula": "Tm6In6Ga", "functional": "PBE", "state": "relaxed", "lattice": [[6.286, 0.000, 0.000], [-3.142, 5.444, 0.000], [0.000, 0.000, 10.317]], "species": ["Tm", "Tm", "Tm", "Tm", "Tm", "Tm", "In", "In", "In", "In", "In", "In", "Ga"], "frac_coords": [[0.000, 0.000, 0.687], [0.000, 0.000, 0.313], [0.333, 0.667, 0.000], [0.667, 0.333, 0.000], [0.333, 0.667, 0.500], [0.667, 0.333, 0.500], [0.000, 0.500, 0.750], [0.500, 0.000, 0.750], [0.500, 0.500, 0.750], [0.500, 0.000, 0.250], [0.000, 0.500, 0.250], [0.500, 0.500, 0.250], [0.000, 0.000, 0.000]], "ef_ev_per_atom": -0.238, "dft_energy_ev_per_atom": -3.798}